8
Lattice="2.8535 0.0000 0.0000 0.0000 4.5763 0.0000 0.0000 0.0000 9.2163" Properties=species:S:1:pos:R:3 comment="MgIrRh2 | Alexandria via LeMat-Bulk | GGA-PBE | optimized geometry" magmom_total_mub_per_fu=0.0 delta_e_f_ev_per_atom=-0.06 energy_ev_per_cell=-50.81 mass_density_g_cm3=11.654 pbc="T T T"
Mg 0.0000 0.0000 0.0000
Mg 1.4268 2.2881 4.6082
Ir 0.0000 0.0000 4.6082
Ir 1.4268 2.2881 0.0000
Rh 0.0000 2.2881 2.2097
Rh 0.0000 2.2881 7.0067
Rh 1.4268 0.0000 2.3985
Rh 1.4268 0.0000 6.8178